First-principles (GGA-PBE) data for PrAl4Au8 after structural relaxation, as listed in OQMD.

Space group ... I4/mmm
DFT total energy ... -52.150 eV/cell

Lattice parameters (Å, degrees): 7.1205 7.1205 7.1205 98.65 98.65 134.36
With the nearest neighbours (Å) after each atom.
Fractional positions:
Pr: 0.0000 0.0000 0.0000  12 Au 3.08-3.43
Al: 0.0000 0.0000 0.5000  8 Au 2.72-2.81, 2 Al 2.76
Al: 0.0000 0.5000 0.0000  8 Au 2.72-2.81, 2 Al 2.76
Al: 0.5000 0.0000 0.0000  8 Au 2.72-2.81, 2 Al 2.76
Al: 0.5000 0.5000 0.5000  8 Au 2.72-2.81, 2 Al 2.76
Au: 0.0000 0.3319 0.3319  4 Al 2.81, 5 Au 2.95-3.12, 1 Pr 3.08
Au: 0.0000 0.6681 0.6681  4 Al 2.81, 5 Au 2.95-3.12, 1 Pr 3.08
Au: 0.2812 0.5000 0.7812  4 Al 2.72, 6 Au 2.87-3.04
Au: 0.3319 0.0000 0.3319  4 Al 2.81, 5 Au 2.95-3.12, 1 Pr 3.08
Au: 0.5000 0.2812 0.7812  4 Al 2.72, 6 Au 2.87-3.04
Au: 0.5000 0.7188 0.2188  4 Al 2.72, 6 Au 2.87-3.04
Au: 0.6681 0.0000 0.6681  4 Al 2.81, 5 Au 2.95-3.12, 1 Pr 3.08
Au: 0.7188 0.5000 0.2188  4 Al 2.72, 6 Au 2.87-3.04

=====

First-principles (GGA-PBE) data for PrAl2PtAu after structural relaxation, as listed in OQMD.

Space group ... P4/nmm
DFT total energy ... -52.601 eV/cell

Lattice parameters (Å, degrees): 4.4112 4.4112 10.3528 90.00 90.00 90.00
With the nearest neighbours (Å) after each atom.
Fractional positions:
Pr: 0.2500 0.2500 0.2440  8 Al 3.35, 4 Pt 3.35, 4 Au 3.45
Pr: 0.7500 0.7500 0.7560  8 Al 3.35, 4 Pt 3.35, 4 Au 3.45
Al: 0.2500 0.2500 0.6374  1 Pt 2.46, 4 Au 2.62
Al: 0.2500 0.7500 0.0000  4 Pt 2.56
Al: 0.7500 0.2500 0.0000  4 Pt 2.56
Al: 0.7500 0.7500 0.3626  1 Pt 2.46, 4 Au 2.62
Pt: 0.2500 0.2500 0.8753  5 Al 2.46-2.56
Pt: 0.7500 0.7500 0.1247  5 Al 2.46-2.56
Au: 0.2500 0.7500 0.5000  4 Al 2.62
Au: 0.7500 0.2500 0.5000  4 Al 2.62

=====

First-principles (GGA-PBE) data for PrAlSnAu2 after structural relaxation, as listed in OQMD.

Space group ... P4/nmm
DFT total energy ... -44.835 eV/cell

Lattice parameters (Å, degrees): 4.5133 4.5133 11.0316 90.00 90.00 90.00
With the nearest neighbours (Å) after each atom.
Fractional positions:
Pr: 0.2500 0.2500 0.2447  4 Sn 3.41, 8 Au 3.51-3.61, 4 Al 3.52
Pr: 0.7500 0.7500 0.7553  4 Sn 3.41, 8 Au 3.51-3.61, 4 Al 3.52
Al: 0.2500 0.7500 0.0000  4 Au 2.58
Al: 0.7500 0.2500 0.0000  4 Au 2.58
Sn: 0.2500 0.2500 0.6456  5 Au 2.67-2.77
Sn: 0.7500 0.7500 0.3544  5 Au 2.67-2.77
Au: 0.2500 0.2500 0.8875  4 Al 2.58, 1 Sn 2.67
Au: 0.2500 0.7500 0.5000  4 Sn 2.77
Au: 0.7500 0.2500 0.5000  4 Sn 2.77
Au: 0.7500 0.7500 0.1125  4 Al 2.58, 1 Sn 2.67

=====

First-principles (GGA-PBE) data for AlPtAu after structural relaxation, as listed in OQMD.

Space group ... F-43m
Excess energy over the best structure of this formula in the dataset ... 0.20 eV/f.u.

Lattice parameters (Å, degrees): 4.2053 4.2053 4.2053 60.00 60.00 60.00
With the nearest neighbours (Å) after each atom.
Fractional positions:
Al: 0.0000 0.0000 0.0000  4 Pt 2.58, 4 Au 2.58
Pt: 0.2500 0.2500 0.2500  4 Al 2.58
Au: 0.7500 0.7500 0.7500  4 Al 2.58

=====

First-principles (GGA-PBE) data for AlPt2Au after structural relaxation, as listed in OQMD.

Space group ... F-43m
DFT total energy ... -20.577 eV/cell

Lattice parameters (Å, degrees): 4.4853 4.4853 4.4853 60.00 60.00 60.00
With the nearest neighbours (Å) after each atom.
Fractional positions:
Al: 0.0000 0.0000 0.0000  4 Pt 2.75, 4 Au 2.75
Pt: 0.5000 0.5000 0.5000  4 Pt 2.75, 4 Au 2.75
Pt: 0.7500 0.7500 0.7500  4 Pt 2.75, 4 Al 2.75
Au: 0.2500 0.2500 0.2500  4 Pt 2.75, 4 Al 2.75

=====

First-principles (GGA-PBE) data for AlPtAu after structural relaxation, as listed in OQMD.

Space group ... Pnma
Excess energy over the best structure of this formula in the dataset ... 0.00 eV/f.u.

Lattice parameters (Å, degrees): 6.7668 3.7901 7.6313 90.00 90.00 90.00
With the nearest neighbours (Å) after each atom.
Fractional positions:
Al: 0.2323 0.2500 0.1314  4 Pt 2.44-2.56, 1 Au 2.69
Al: 0.2677 0.7500 0.6314  4 Pt 2.44-2.56, 1 Au 2.69
Al: 0.7323 0.2500 0.3686  4 Pt 2.44-2.56, 1 Au 2.69
Al: 0.7677 0.7500 0.8686  4 Pt 2.44-2.56, 1 Au 2.69
Pt: 0.1394 0.7500 0.9307  4 Al 2.44-2.56
Pt: 0.3606 0.2500 0.4307  4 Al 2.44-2.56
Pt: 0.6394 0.7500 0.5693  4 Al 2.44-2.56
Pt: 0.8606 0.2500 0.0693  4 Al 2.44-2.56
Au: 0.0380 0.7500 0.3442  5 Al 2.69-2.82, 2 Pt 2.97
Au: 0.4620 0.2500 0.8442  5 Al 2.69-2.82, 2 Pt 2.97
Au: 0.5380 0.7500 0.1558  5 Al 2.69-2.82, 2 Pt 2.97
Au: 0.9620 0.2500 0.6558  5 Al 2.69-2.82, 2 Pt 2.97

=====

First-principles (GGA-PBE) data for AlPt2Au3 after structural relaxation, as listed in OQMD.

Space group ... P6/mmm
DFT total energy ... -24.937 eV/cell

Lattice parameters (Å, degrees): 5.3220 5.3220 4.6475 90.00 90.00 120.00
With the nearest neighbours (Å) after each atom.
Fractional positions:
Al: 0.0000 0.0000 0.0000  6 Pt 3.07
Pt: 0.3333 0.6667 0.0000  6 Au 2.79, 3 Al 3.07, 3 Pt 3.07
Pt: 0.6667 0.3333 0.0000  6 Au 2.79, 3 Al 3.07, 3 Pt 3.07
Au: 0.0000 0.5000 0.5000  4 Au 2.66, 4 Pt 2.79
Au: 0.5000 0.0000 0.5000  4 Au 2.66, 4 Pt 2.79
Au: 0.5000 0.5000 0.5000  4 Au 2.66, 4 Pt 2.79

=====

First-principles (GGA-PBE) data for AlPtAu2 after structural relaxation, as listed in OQMD.

Space group ... F-43m
DFT total energy ... -17.551 eV/cell

Lattice parameters (Å, degrees): 4.5440 4.5440 4.5440 60.00 60.00 60.00
With the nearest neighbours (Å) after each atom.
Fractional positions:
Al: 0.0000 0.0000 0.0000  4 Au 2.78, 4 Pt 2.78
Pt: 0.2500 0.2500 0.2500  4 Au 2.78, 4 Al 2.78
Au: 0.5000 0.5000 0.5000  4 Au 2.78, 4 Pt 2.78
Au: 0.7500 0.7500 0.7500  4 Au 2.78, 4 Al 2.78

=====

First-principles (GGA-PBE) data for AlSnPtAu after structural relaxation, as listed in OQMD.

Space group ... F-43m
Excess energy over the best structure of this formula in the dataset ... 0.00 eV/f.u.

Lattice parameters (Å, degrees): 4.6905 4.6905 4.6905 60.00 60.00 60.00
With the nearest neighbours (Å) after each atom.
Fractional positions:
Al: 0.0000 0.0000 0.0000  4 Pt 2.87, 4 Au 2.87
Sn: 0.5000 0.5000 0.5000  4 Pt 2.87, 4 Au 2.87
Pt: 0.2500 0.2500 0.2500  4 Sn 2.87, 4 Al 2.87
Au: 0.7500 0.7500 0.7500  4 Sn 2.87, 4 Al 2.87

=====

First-principles (GGA-PBE) data for SrAl2PtAu after structural relaxation, as listed in OQMD.

Space group ... P4/nmm
DFT total energy ... -45.279 eV/cell

Lattice parameters (Å, degrees): 4.5213 4.5213 10.2285 90.00 90.00 90.00
With the nearest neighbours (Å) after each atom.
Fractional positions:
Sr: 0.2500 0.2500 0.2481  8 Al 3.40-3.42, 4 Au 3.43, 5 Pt 3.45-3.78
Sr: 0.7500 0.7500 0.7519  8 Al 3.40-3.42, 4 Au 3.43, 5 Pt 3.45-3.78
Al: 0.2500 0.2500 0.6340  1 Pt 2.50, 4 Au 2.64
Al: 0.2500 0.7500 0.0000  4 Pt 2.58
Al: 0.7500 0.2500 0.0000  4 Pt 2.58
Al: 0.7500 0.7500 0.3660  1 Pt 2.50, 4 Au 2.64
Pt: 0.2500 0.2500 0.8788  5 Al 2.50-2.58
Pt: 0.7500 0.7500 0.1212  5 Al 2.50-2.58
Au: 0.2500 0.7500 0.5000  4 Al 2.64
Au: 0.7500 0.2500 0.5000  4 Al 2.64

=====

First-principles (GGA-PBE) data for SrAl5PtAu after structural relaxation, as listed in OQMD.

Space group ... Imm2
DFT total energy ... -34.810 eV/cell

Lattice parameters (Å, degrees): 6.5996 6.5996 6.5996 143.37 111.23 80.53
With the nearest neighbours (Å) after each atom.
Fractional positions:
Sr: 0.0000 0.0000 0.0000  2 Au 3.29, 2 Pt 3.34, 8 Al 3.42-3.50
Al: 0.1588 0.3532 0.8057  1 Pt 2.55, 2 Au 2.72
Al: 0.4698 0.6530 0.8168  1 Au 2.57, 2 Pt 2.63, 1 Al 2.73
Al: 0.5005 0.0005 0.5000  1 Pt 2.42, 1 Au 2.48
Al: 0.5475 0.3532 0.1943  1 Pt 2.55, 2 Au 2.72
Al: 0.8362 0.6530 0.1832  1 Au 2.57, 2 Pt 2.63, 1 Al 2.73
Pt: 0.7403 0.2403 0.5000  7 Al 2.42-2.63
Au: 0.2540 0.7540 0.5000  7 Al 2.48-2.72

=====

First-principles (GGA-PBE) data for TbY2Al3PtAu2 after structural relaxation, as listed in OQMD.

Space group ... Amm2
DFT total energy ... -49.698 eV/cell

Lattice parameters (Å, degrees): 3.9532 7.3933 7.3933 120.02 90.00 90.00
With the nearest neighbours (Å) after each atom.
Fractional positions:
Tb: 0.0000 0.0000 0.0000  4 Au 2.98, 1 Pt 3.03, 6 Al 3.27-3.30
Y: 0.0000 0.4104 0.8200  4 Au 2.98-2.99, 1 Pt 3.03, 6 Al 3.27-3.29
Y: 0.0000 0.8200 0.4104  4 Au 2.98-2.99, 1 Pt 3.03, 6 Al 3.27-3.29
Al: 0.5000 0.1733 0.4109  2 Pt 2.64, 2 Au 2.88-2.89
Al: 0.5000 0.4109 0.1733  2 Pt 2.64, 2 Au 2.88-2.89
Al: 0.5000 0.6472 0.6472  2 Pt 2.64, 2 Au 2.89
Pt: 0.0000 0.4101 0.4101  6 Al 2.64
Au: 0.5000 0.0773 0.7443  3 Al 2.88-2.89, 2 Tb 2.98, 4 Y 2.98-2.99
Au: 0.5000 0.7443 0.0773  3 Al 2.88-2.89, 2 Tb 2.98, 4 Y 2.98-2.99